Record 1
SmCr2PbO8 | the Alexandria database | GGA+U | optimized geometry; symmetry = P-3m1 (164)
1.0
-0.036 1.994 -5.423
-0.715 -5.644 1.008
-7.152 0.978 0.407
O Sm Cr Pb
8 1 2 1
direct
0.171 0.830 0.717 O
0.667 0.333 0.982 O
0.333 0.667 0.018 O
0.830 0.659 0.283 O
0.170 0.341 0.717 O
0.341 0.171 0.283 O
0.829 0.170 0.283 O
0.659 0.829 0.717 O
0.000 0.000 0.500 Sm
0.333 0.667 0.792 Cr
0.667 0.333 0.208 Cr
0.000 0.000 0.000 Pb



Record 2
Cr2SnPbO8 | the Alexandria database | GGA+U | optimized geometry; symmetry = C2/m (12)
1.0
-2.450 0.234 -4.549
-3.494 -3.778 -0.520
-5.260 4.320 2.939
O Sn Pb Cr
8 1 1 2
direct
0.242 0.242 0.961 O
0.293 0.293 0.573 O
0.778 0.262 0.207 O
0.707 0.707 0.427 O
0.262 0.778 0.207 O
0.738 0.222 0.793 O
0.222 0.738 0.793 O
0.758 0.758 0.039 O
0.000 0.000 0.000 Sn
0.000 0.000 0.500 Pb
0.366 0.366 0.779 Cr
0.634 0.634 0.221 Cr



Per-record total energy, eV/atom: -6.94 -6.52